DFT (PBE-GGA) results for a relaxed structure of YTaCr2In.

Cell and atoms, written as POSCAR:
```
YTaCr2In
1.0
-3.705 -0.824 2.899
3.218 -0.909 3.854
-0.106 4.627 1.180
Cr Y Ta In
2 1 1 1
direct
0.000 0.000 0.500 Cr
0.500 0.000 0.000 Cr
0.500 0.500 0.500 Y
0.000 0.500 0.000 Ta
0.000 0.000 0.000 In
```

## Properties
The formation energy is 1.787 eV/atom. Its total energy is -31.37 eV for the cell shown.